1.
Material: KPt2Au10
Method: DFT, PBE
State: optimized geometry

For the calculated volume, the calculation gives 254.8 Å³/f.u. The value obtained for the calculated formation energy is -52 meV/atom. The value obtained for the energy is -3.5867 eV/atom.

The space group is Fmmm (No. 69) and the conventional cell measures 5.639, 12.966 and 13.939 Å, with angles of 90.00, 90.00 and 90.00 degrees. Symmetry generates all atoms from K at (0.000, 0.000, 0.000), Pt at (0.250, 0.000, 0.250), Au at (0.000, 0.112, 0.385), Au at (0.000, 0.171, 0.174) and Au at (0.250, 0.250, 0.000).

***

2.
Material: CaCdTc2
Method: DFT, PBE
State: optimized geometry

For the calculated volume, the calculation gives 80.1 Å³/f.u. The value obtained for the calculated formation energy is 611 meV/atom. The value obtained for the energy is -5.3013 eV/atom.

The space group is Pmmm (No. 47) and the conventional cell measures 2.780, 4.737 and 6.082 Å, with angles of 90.00, 90.00 and 90.00 degrees. Symmetry generates all atoms from Ca at (0.000, 0.000, 0.000), Cd at (0.000, 0.000, 0.500) and Tc at (0.500, 0.500, 0.310).

***

3.
Material: Sc2AgW
Method: DFT, PBE
State: optimized geometry

For the calculated volume, the calculation gives 78.6 Å³/f.u. The value obtained for the energy above the most stable polymorph in this dataset is 309.4 meV per atom. The value obtained for the calculated formation energy is 361 meV/atom. The value obtained for the energy is -6.7557 eV/atom.

The space group is P4mm (No. 99) and the conventional cell measures 3.632, 3.632 and 5.960 Å, with angles of 90.00, 90.00 and 90.00 degrees. Symmetry generates all atoms from Sc at (0.000, 0.000, 0.000), Sc at (0.500, 0.500, 0.303), Ag at (0.500, 0.500, 0.771) and W at (0.000, 0.000, 0.493).

***

4.
Material: ZrAlW2C
Method: DFT, PBE
State: optimized geometry

For the calculated volume, the calculation gives 85.9 Å³/f.u. The value obtained for the calculated formation energy is 1629 meV/atom. The value obtained for the energy is -7.8556 eV/atom.

The space group is P4/mmm (No. 123) and the conventional cell measures 4.842, 4.842 and 3.664 Å, with angles of 90.00, 90.00 and 90.00 degrees. Symmetry generates all atoms from Zr at (0.000, 0.000, 0.000), Al at (0.500, 0.500, 0.500), W at (0.000, 0.500, 0.500) and C at (0.500, 0.500, 0.000).

***

5.
Material: MnNb2InC
Method: DFT, PBE
State: optimized geometry

For the calculated volume, the calculation gives 84.8 Å³/f.u. The value obtained for the calculated formation energy is 859 meV/atom. The value obtained for the energy is -7.3950 eV/atom.

The space group is P4/mmm (No. 123) and the conventional cell measures 4.813, 4.813 and 3.660 Å, with angles of 90.00, 90.00 and 90.00 degrees. Symmetry generates all atoms from Mn at (0.000, 0.000, 0.000), Nb at (0.000, 0.500, 0.000), In at (0.500, 0.500, 0.500) and C at (0.000, 0.000, 0.500).

***

6.
Material: CuAgRh2
Method: DFT, PBE
State: optimized geometry

For the calculated volume, the calculation gives 59.6 Å³/f.u. The value obtained for the energy above the most stable polymorph in this dataset is 117.4 meV per atom. The value obtained for the calculated formation energy is 229 meV/atom. The value obtained for the energy is -5.1837 eV/atom.

The space group is Cmm2 (No. 35) and the conventional cell measures 2.753, 4.685 and 9.250 Å, with angles of 90.00, 90.00 and 90.00 degrees. Symmetry generates all atoms from Cu at (0.000, 0.000, 0.000), Ag at (0.000, 0.500, 0.749), Rh at (0.000, 0.000, 0.480) and Rh at (0.000, 0.500, 0.236).

***

7.
Material: LiTl
Method: DFT, PBE
State: optimized geometry

For the calculated volume, the calculation gives 74.8 Å³/f.u. The value obtained for the calculated formation energy is 371 meV/atom. The value obtained for the energy is -1.7694 eV/atom.

The space group is Pm-3n (No. 223) and the conventional cell measures 7.657, 7.657 and 7.657 Å, with angles of 90.00, 90.00 and 90.00 degrees. Symmetry generates all atoms from Li at (0.000, 0.250, 0.500) and Tl at (0.000, 0.500, 0.250).

***

8.
Material: Pr3Nd3Sc2
Method: DFT, PBE
State: optimized geometry

For the calculated volume, the calculation gives 261.5 Å³/f.u. The value obtained for the calculated formation energy is 43 meV/atom. The value obtained for the energy is -5.1202 eV/atom.

The space group is Immm (No. 71) and the conventional cell measures 5.156, 5.157 and 19.673 Å, with angles of 90.00, 90.00 and 90.00 degrees. Symmetry generates all atoms from Pr at (0.000, 0.000, 0.000), Pr at (0.000, 0.500, 0.134), Nd at (0.000, 0.000, 0.500), Nd at (0.000, 0.500, 0.366) and Sc at (0.000, 0.000, 0.250).

***

9.
Material: TbCeYPb
Method: DFT, PBE
State: optimized geometry

For the calculated volume, the calculation gives 118.0 Å³/f.u. The value obtained for the calculated formation energy is -85 meV/atom. The value obtained for the energy is -5.2693 eV/atom.

The space group is F-43m (No. 216) and the conventional cell measures 7.786, 7.786 and 7.786 Å, with angles of 90.00, 90.00 and 90.00 degrees. Symmetry generates all atoms from Tb at (0.000, 0.000, 0.000), Ce at (0.250, 0.250, 0.250), Y at (0.250, 0.250, 0.750) and Pb at (0.000, 0.000, 0.500).

***

10.
Material: LiBeAu2
Method: DFT, PBE
State: optimized geometry

For the calculated volume, the calculation gives 57.0 Å³/f.u. The value obtained for the calculated formation energy is -274 meV/atom. The value obtained for the energy is -3.3230 eV/atom.

The space group is Cm (No. 8) and the conventional cell measures 9.222, 3.000 and 4.272 Å, with angles of 90.00, 105.26 and 90.00 degrees. Symmetry generates all atoms from Li at (0.000, 0.000, 0.000), Be at (0.264, 0.500, 0.358), Au at (0.250, 0.000, 0.846) and Au at (0.483, 0.000, 0.478).

***

11.
Material: Dy2MnCo3
Method: DFT, PBE
State: optimized geometry

For the calculated volume, the calculation gives 106.6 Å³/f.u. The value obtained for the calculated formation energy is 248 meV/atom. The value obtained for the energy is -6.3668 eV/atom.

The space group is Immm (No. 71) and the conventional cell measures 4.300, 5.082 and 9.756 Å, with angles of 90.00, 90.00 and 90.00 degrees. Symmetry generates all atoms from Dy at (0.000, 0.000, 0.185), Mn at (0.000, 0.000, 0.500), Co at (0.000, 0.500, 0.117) and Co at (0.000, 0.500, 0.500).

***

12.
Material: CeDy8Y4
Method: DFT, PBE
State: optimized geometry

For the calculated volume, the calculation gives 411.4 Å³/f.u. The value obtained for the calculated formation energy is 161 meV/atom. The value obtained for the energy is -5.1160 eV/atom.

The space group is R-3m (No. 166, hexagonal axes) and the conventional cell measures 7.3069, 7.3069 and 26.6941 Å, with angles of 90.00, 90.00 and 120.00 degrees. Symmetry generates all atoms from Ce at (0.0000, 0.0000, 0.0000), Dy at (0.0000, 0.0000, 0.2793), Dy at (0.0318, 0.5159, 0.2712), Y at (0.0000, 0.0000, 0.5000) and Y at (0.0000, 0.5000, 0.5000).